! PmSm2H | the Alexandria database | PBE-GGA | relaxed; values from VASP
&SYSTEM
  ibrav = 0, nat = 4, ntyp = 3
/
ATOMIC_SPECIES
Pm 145.00 Pm.upf
H 1.01 H.upf
Sm 150.36 Sm.upf
ATOMIC_POSITIONS crystal
Pm 0.5000 0.5000 0.5000
H 0.5000 0.5000 0.0000
Sm 0.0000 0.0000 0.1883
Sm 0.0000 0.0000 0.8117
CELL_PARAMETERS angstrom
-3.1317 0.2801 -1.3464
1.0450 -1.6923 -2.7826
-2.2697 -7.5120 3.7160
! Energy above the lowest structure with this stoichiometry   107.6 kJ/mol of formula units